*a*
This record from Alexandria via LeMat-Bulk describes a geometry-optimized MgTeMo2 structure. The functional is PBE-GGA.

a b c (Å): 3.3216 3.3216 6.6720
angles (deg): 90.00 90.00 90.00
Closest atoms and distances in Å follow each position.
Element x y z (fractional)
Mo 0.0000 0.0000 0.4688  4 Te 2.77, 1 Mo 2.92, 4 Mg 3.01
Mo 0.0000 0.0000 0.0312  4 Te 2.77, 1 Mo 2.92, 4 Mg 3.01
Te 0.5000 0.5000 0.2500  8 Mo 2.77
Mg 0.5000 0.5000 0.7500  8 Mo 3.01, 4 Mg 3.32, 2 Te 3.34

* N(E_F): 1.28 states/eV/atom
* crystal system: tetragonal
* magnetization: 0.00 μB per cell

***

*b*
This record from Alexandria via LeMat-Bulk describes a geometry-optimized MgTeMo2 structure. The functional is PBE-GGA.

a b c (Å): 9.0813 9.0813 9.0813
angles (deg): 19.77 19.77 19.77
Closest atoms and distances in Å follow each position.
Element x y z (fractional)
Mo 0.5052 0.5052 0.5052  3 Te 2.76, 3 Mg 2.97
Mo 0.9948 0.9948 0.9948  3 Te 2.76, 3 Mg 2.97
Te 0.2500 0.2500 0.2500  6 Mo 2.76
Mg 0.7500 0.7500 0.7500  6 Mo 2.97, 6 Mg 3.12

* N(E_F): 0.91 states/eV/atom
* crystal system: trigonal
* magnetization: 0.00 μB per cell

***

*c*
This record from Alexandria via LeMat-Bulk describes a geometry-optimized MgTeMo2 structure. The functional is PBE-GGA.

a b c (Å): 5.0272 5.0272 5.0272
angles (deg): 131.12 131.12 71.62
Closest atoms and distances in Å follow each position.
Element x y z (fractional)
Mo 0.2500 0.7500 0.5000  4 Mo 2.91, 4 Te 2.91, 4 Mg 2.94
Mo 0.0000 0.0000 0.0000  4 Mo 2.91, 4 Mg 2.91, 4 Te 2.94
Te 0.5000 0.5000 0.0000  4 Mg 2.91, 8 Mo 2.91-2.94
Mg 0.7500 0.2500 0.5000  4 Te 2.91, 8 Mo 2.91-2.94

* N(E_F): 0.87 states/eV/atom
* crystal system: tetragonal
* magnetization: 0.00 μB per cell

***

*d*
This record from Alexandria via LeMat-Bulk describes a geometry-optimized MgTeMo2 structure. The functional is PBE-GGA.

a b c (Å): 4.5551 3.1865 5.3858
angles (deg): 75.57 90.00 90.00
Closest atoms and distances in Å follow each position.
Element x y z (fractional)
Mo 0.5000 0.2995 0.2187  2 Mg 2.64-2.90, 2 Mo 2.66, 2 Te 2.75
Mo 0.0000 0.0545 0.0427  2 Mo 2.66, 3 Te 2.83-2.87
Mg 0.5000 0.7879 0.7447  2 Mo 2.64-2.90
Te 0.0000 0.3582 0.4939  5 Mo 2.75-2.87, 2 Mg 3.02

* N(E_F): 0.53 states/eV/atom
* crystal system: monoclinic
* magnetization: 0.00 μB per cell

***

Which of them is the most stable? Correct choice: *d*.

***

*a*
This record from Alexandria via LeMat-Bulk describes a geometry-optimized MgTeMo2 structure. The functional is PBE-GGA.

a b c (Å): 4.7198 3.0259 5.3017
angles (deg): 87.23 90.00 90.00
Closest atoms and distances in Å follow each position.
Element x y z (fractional)
Mg 0.5000 0.7500 0.7500  4 Mo 2.86, 4 Te 2.99-3.12, 2 Mg 3.03
Te 0.5000 0.2500 0.2500  4 Mo 2.84, 4 Mg 2.99-3.12, 2 Te 3.03
Mo 0.0000 0.3970 0.5308  1 Mo 2.45
Mo 0.0000 0.1030 0.9692  1 Mo 2.45

* N(E_F): 0.98 states/eV/atom
* crystal system: monoclinic
* magnetization: 0.00 μB per cell

***

*b*
This record from Alexandria via LeMat-Bulk describes a geometry-optimized MgTeMo2 structure. The functional is PBE-GGA.

a b c (Å): 5.4949 5.3146 3.0046
angles (deg): 80.02 77.79 117.20
Closest atoms and distances in Å follow each position.
Element x y z (fractional)
Te 0.0000 0.5000 0.5000  4 Mo 2.82, 2 Mg 2.84, 2 Te 3.00
Mo 0.5000 0.0000 0.5000  2 Te 2.82, 2 Mg 2.82, 4 Mo 2.84-3.00
Mo 0.0000 0.0000 0.0000  2 Mg 2.82, 2 Te 2.82, 4 Mo 2.84-3.00
Mg 0.5000 0.5000 0.0000  4 Mo 2.82, 2 Te 2.84, 2 Mg 3.00

* N(E_F): 0.81 states/eV/atom
* crystal system: monoclinic
* magnetization: 0.00 μB per cell

***

Which of them is the most stable? Correct choice: *a*.

***

*a*
This record from Alexandria via LeMat-Bulk describes a geometry-optimized MgTeMo2 structure. The functional is PBE-GGA.

a b c (Å): 4.6210 4.6210 4.6210
angles (deg): 60.00 60.00 60.00
Closest atoms and distances in Å follow each position.
Element x y z (fractional)
Mg 0.0000 0.0000 0.0000  8 Mo 2.83
Mo 0.7500 0.7500 0.7500  4 Mg 2.83, 4 Te 2.83
Mo 0.2500 0.2500 0.2500  4 Te 2.83, 4 Mg 2.83
Te 0.5000 0.5000 0.5000  8 Mo 2.83

* N(E_F): 1.74 states/eV/atom
* crystal system: cubic
* magnetization: 0.70 μB per cell

***

*b*
This record from Alexandria via LeMat-Bulk describes a geometry-optimized MgTeMo2 structure. The functional is PBE-GGA.

a b c (Å): 3.0337 3.0337 9.4351
angles (deg): 90.00 90.00 112.89
Closest atoms and distances in Å follow each position.
Element x y z (fractional)
Mo 0.0000 0.0000 0.0222  2 Mo 2.52
Mo 0.5000 0.5000 0.2220  2 Mo 2.52
Te 0.0000 0.0000 0.4771  2 Mo 2.93, 4 Te 3.03
Mg 0.5000 0.5000 0.7786  2 Mo 2.85, 4 Mg 3.03

* N(E_F): 0.62 states/eV/atom
* crystal system: orthorhombic
* magnetization: 0.00 μB per cell

***

Which of them is the most stable? Correct choice: *b*.

***

*a*
This record from Alexandria via LeMat-Bulk describes a geometry-optimized MgTe3Mo structure. The functional is PBE-GGA.

a b c (Å): 5.3817 5.3817 5.3817
angles (deg): 90.00 90.00 90.00
Closest atoms and distances in Å follow each position.
Element x y z (fractional)
Mo 0.5000 0.5000 0.5000  12 Te 3.81
Mg 0.0000 0.0000 0.0000  6 Te 2.69
Te 0.5000 0.0000 0.0000  2 Mg 2.69
Te 0.0000 0.5000 0.0000  2 Mg 2.69
Te 0.0000 0.0000 0.5000  2 Mg 2.69

* N(E_F): 0.87 states/eV/atom
* crystal system: cubic
* magnetization: 2.91 μB per cell

***

*b*
This record from Alexandria via LeMat-Bulk describes a geometry-optimized MgTe3Mo structure. The functional is PBE-GGA.

a b c (Å): 5.3412 5.3412 5.3412
angles (deg): 90.00 90.00 90.00
Closest atoms and distances in Å follow each position.
Element x y z (fractional)
Te 0.0000 0.5000 0.0000  2 Mo 2.67
Te 0.0000 0.0000 0.5000  2 Mo 2.67
Te 0.5000 0.0000 0.0000  2 Mo 2.67
Mg 0.5000 0.5000 0.5000  12 Te 3.78
Mo 0.0000 0.0000 0.0000  6 Te 2.67

* N(E_F): 0.96 states/eV/atom
* crystal system: cubic
* magnetization: 0.00 μB per cell

***

Which of them is the most stable? Correct choice: *b*.

***

*a*
This record from Alexandria via LeMat-Bulk describes a geometry-optimized Mg2Ti2Mo structure. The functional is PBE-GGA.

a b c (Å): 3.6353 3.6353 7.4557
angles (deg): 75.89 75.89 90.00
Closest atoms and distances in Å follow each position.
Element x y z (fractional)
Mg 0.4081 0.4081 0.1837  1 Mg 2.57, 4 Ti 2.86, 4 Mo 2.87
Mg 0.5919 0.5919 0.8163  1 Mg 2.57, 4 Ti 2.86, 4 Mo 2.87
Ti 0.2500 0.7500 0.5000  4 Ti 2.57, 4 Mg 2.86
Ti 0.7500 0.2500 0.5000  4 Ti 2.57, 4 Mg 2.86
Mo 0.0000 0.0000 0.0000  8 Mg 2.87

* N(E_F): 1.22 states/eV/atom
* crystal system: tetragonal
* magnetization: 0.00 μB per cell

***

*b*
This record from Alexandria via LeMat-Bulk describes a geometry-optimized Mg2Ti2Mo structure. The functional is PBE-GGA.

a b c (Å): 7.6015 7.6015 3.0813
angles (deg): 90.00 90.00 90.00
Closest atoms and distances in Å follow each position.
Element x y z (fractional)
Ti 0.1766 0.6766 0.5000  6 Mg 2.63-2.79
Ti 0.6766 0.8234 0.5000  6 Mg 2.63-2.79
Ti 0.8234 0.3234 0.5000  6 Mg 2.63-2.79
Ti 0.3234 0.1766 0.5000  6 Mg 2.63-2.79
Mo 0.5000 0.5000 0.0000  4 Mg 3.00, 2 Mo 3.08, 8 Ti 3.20
Mo 0.0000 0.0000 0.0000  4 Mg 3.00, 2 Mo 3.08, 8 Ti 3.20
Mg 0.1256 0.3744 0.0000  6 Ti 2.63-2.79, 1 Mg 2.70
Mg 0.3744 0.8744 0.0000  6 Ti 2.63-2.79, 1 Mg 2.70
Mg 0.6256 0.1256 0.0000  6 Ti 2.63-2.79, 1 Mg 2.70
Mg 0.8744 0.6256 0.0000  6 Ti 2.63-2.79, 1 Mg 2.70

* N(E_F): 1.56 states/eV/atom
* crystal system: tetragonal
* magnetization: 0.00 μB per cell

***

Which of them is the most stable? Correct choice: *b*.

***

*a*
This record from Alexandria via LeMat-Bulk describes a geometry-optimized MgTi2Mo2 structure. The functional is PBE-GGA.

a b c (Å): 7.1923 7.1923 3.3127
angles (deg): 90.00 90.00 90.00
Closest atoms and distances in Å follow each position.
Element x y z (fractional)
Ti 0.6358 0.1358 0.0000  6 Mo 2.65-2.71, 1 Ti 2.76, 2 Mg 2.80
Ti 0.3642 0.8642 0.0000  6 Mo 2.65-2.71, 1 Ti 2.76, 2 Mg 2.80
Ti 0.8642 0.6358 0.0000  6 Mo 2.65-2.71, 1 Ti 2.76, 2 Mg 2.80
Ti 0.1358 0.3642 0.0000  6 Mo 2.65-2.71, 1 Ti 2.76, 2 Mg 2.80
Mg 0.0000 0.0000 0.0000  4 Ti 2.80
Mg 0.5000 0.5000 0.0000  4 Ti 2.80
Mo 0.8389 0.3389 0.5000  6 Ti 2.65-2.71
Mo 0.1611 0.6611 0.5000  6 Ti 2.65-2.71
Mo 0.3389 0.1611 0.5000  6 Ti 2.65-2.71
Mo 0.6611 0.8389 0.5000  6 Ti 2.65-2.71

* N(E_F): 0.72 states/eV/atom
* crystal system: tetragonal
* magnetization: 0.00 μB per cell

***

*b*
This record from Alexandria via LeMat-Bulk describes a geometry-optimized MgTi2Mo2 structure. The functional is PBE-GGA.

a b c (Å): 7.2836 7.2836 3.2801
angles (deg): 90.00 90.00 90.00
Closest atoms and distances in Å follow each position.
Element x y z (fractional)
Ti 0.6495 0.8505 0.5000  6 Mo 2.69
Ti 0.8505 0.3505 0.5000  6 Mo 2.69
Ti 0.1495 0.6495 0.5000  6 Mo 2.69
Ti 0.3505 0.1495 0.5000  6 Mo 2.69
Mo 0.6436 0.1436 0.0000  6 Ti 2.69, 2 Mg 2.80, 1 Mo 2.96
Mo 0.1436 0.3564 0.0000  6 Ti 2.69, 2 Mg 2.80, 1 Mo 2.96
Mo 0.3564 0.8564 0.0000  6 Ti 2.69, 2 Mg 2.80, 1 Mo 2.96
Mo 0.8564 0.6436 0.0000  6 Ti 2.69, 2 Mg 2.80, 1 Mo 2.96
Mg 0.5000 0.5000 0.0000  4 Mo 2.80
Mg 0.0000 0.0000 0.0000  4 Mo 2.80

* N(E_F): 0.98 states/eV/atom
* crystal system: tetragonal
* magnetization: 0.00 μB per cell

***

Which of them is the most stable? Correct choice: *a*.

***

*a*
This record from Alexandria via LeMat-Bulk describes a geometry-optimized MgTl2Mo structure. The functional is PBE-GGA.

a b c (Å): 5.8024 5.8024 5.1250
angles (deg): 80.14 80.14 30.32
Closest atoms and distances in Å follow each position.
Element x y z (fractional)
Tl 0.9812 0.9812 0.0413  4 Mg 2.94-3.10, 3 Tl 3.04-3.24, 3 Mo 3.13-3.18
Tl 0.7558 0.7558 0.7223  1 Mg 2.98, 4 Mo 2.98-2.99, 3 Tl 3.04-3.24
Mo 0.2369 0.2369 0.2306  2 Mg 2.95, 7 Tl 2.98-3.18, 2 Mo 3.04
Mg 0.5261 0.5261 0.5058  5 Tl 2.94-3.10, 2 Mo 2.95, 2 Mg 3.04

* N(E_F): 0.52 states/eV/atom
* crystal system: monoclinic
* magnetization: 0.00 μB per cell

***

*b*
This record from Alexandria via LeMat-Bulk describes a geometry-optimized MgTl2Mo structure. The functional is PBE-GGA.

a b c (Å): 5.4286 5.4286 5.4286
angles (deg): 133.80 133.80 67.41
Closest atoms and distances in Å follow each position.
Element x y z (fractional)
Mo 0.7500 0.2500 0.5000  4 Mg 3.01, 8 Tl 3.10
Tl 0.0000 0.0000 0.0000  4 Tl 3.01, 4 Mo 3.10, 4 Mg 3.10
Tl 0.5000 0.5000 0.0000  4 Tl 3.01, 4 Mg 3.10, 4 Mo 3.10
Mg 0.2500 0.7500 0.5000  4 Mo 3.01, 8 Tl 3.10

* N(E_F): 0.32 states/eV/atom
* crystal system: tetragonal
* magnetization: 0.00 μB per cell

***

Which of them is the most stable? Correct choice: *a*.

***

*a*
This record from Alexandria via LeMat-Bulk describes a geometry-optimized MgTl2Mo structure. The functional is PBE-GGA.

a b c (Å): 4.9958 4.9958 4.9958
angles (deg): 60.00 60.00 60.00
Closest atoms and distances in Å follow each position.
Element x y z (fractional)
Mo 0.5000 0.5000 0.5000  8 Tl 3.06
Tl 0.7500 0.7500 0.7500  4 Mg 3.06, 4 Mo 3.06
Tl 0.2500 0.2500 0.2500  4 Mo 3.06, 4 Mg 3.06
Mg 0.0000 0.0000 0.0000  8 Tl 3.06

* N(E_F): 0.67 states/eV/atom
* crystal system: cubic
* magnetization: 2.86 μB per cell

***

*b*
This record from Alexandria via LeMat-Bulk describes a geometry-optimized MgTl2Mo structure. The functional is PBE-GGA.

a b c (Å): 3.0332 3.0332 9.8581
angles (deg): 90.00 90.00 90.00
Closest atoms and distances in Å follow each position.
Element x y z (fractional)
Tl 0.0000 0.0000 0.9670  4 Tl 3.03, 4 Mo 3.15
Tl 0.5000 0.5000 0.2668  4 Tl 3.03, 4 Mg 3.39
Mg 0.0000 0.0000 0.5338  4 Mo 2.90, 4 Mg 3.03
Mo 0.5000 0.5000 0.7324  4 Mg 2.90, 4 Mo 3.03, 4 Tl 3.15

* N(E_F): 0.52 states/eV/atom
* crystal system: tetragonal
* magnetization: 0.00 μB per cell

***

*c*
This record from Alexandria via LeMat-Bulk describes a geometry-optimized MgTl2Mo structure. The functional is PBE-GGA.

a b c (Å): 5.6720 5.6720 5.6720
angles (deg): 137.44 137.43 61.77
Closest atoms and distances in Å follow each position.
Element x y z (fractional)
Tl 0.7500 0.2500 0.5000  4 Mo 2.91, 4 Mg 3.19, 4 Tl 3.19
Tl 0.0001 0.0001 0.0000  4 Mg 2.91, 4 Tl 3.19, 4 Mo 3.19
Mg 0.4998 0.4998 0.0000  8 Tl 2.91-3.19, 4 Mo 3.19
Mo 0.2501 0.7501 0.5000  8 Tl 2.91-3.19, 4 Mg 3.19

* N(E_F): 0.19 states/eV/atom
* crystal system: tetragonal
* magnetization: 0.00 μB per cell

***

*d*
This record from Alexandria via LeMat-Bulk describes a geometry-optimized MgTl2Mo structure. The functional is PBE-GGA.

a b c (Å): 4.9689 3.0437 5.7025
angles (deg): 88.13 90.00 90.00
Closest atoms and distances in Å follow each position.
Element x y z (fractional)
Mg 0.5000 0.2500 0.2500  4 Tl 2.98, 2 Mg 3.04, 4 Mo 3.19-3.28
Tl 0.0000 0.4829 0.5074  2 Mo 2.97, 2 Mg 2.98, 6 Tl 3.04-3.31
Tl 0.0000 0.0171 0.9926  2 Mo 2.97, 2 Mg 2.98, 6 Tl 3.04-3.31
Mo 0.5000 0.7500 0.7500  4 Tl 2.97, 2 Mo 3.04, 4 Mg 3.19-3.28

* N(E_F): 0.77 states/eV/atom
* crystal system: monoclinic
* magnetization: 0.00 μB per cell

***

Which of them is the most stable? Correct choice: *b*.